No. 1
# Cr3P4O14 | the Alexandria database | PBEsol | relaxed
# Formation energy without anion corrections ... -190.7 kJ per mole of atoms
# Total DFT energy (no corrections) ... -8.0421 eV per atom
# Total magnetization ... 10.0 Bohr magnetons per cell
data_Cr3P4O14
_symmetry_space_group_name_H-M 'P -1'
_symmetry_Int_Tables_number 2
_cell_length_a 6.158
_cell_length_b 6.767
_cell_length_c 7.362
_cell_angle_alpha 78.76
_cell_angle_beta 68.39
_cell_angle_gamma 82.17
loop_
_symmetry_equiv_pos_as_xyz
'x,y,z'
'-x,-y,-z'
loop_
_atom_site_label
_atom_site_type_symbol
_atom_site_fract_x
_atom_site_fract_y
_atom_site_fract_z
Cr1 Cr 0.000 0.000 0.000
Cr2 Cr 0.247 0.424 0.361
P1 P 0.231 0.655 0.709
P2 P 0.390 0.290 0.936
O1 O 0.096 0.559 0.605
O2 O 0.098 0.844 0.781
O3 O 0.232 0.494 0.899
O4 O 0.302 0.118 0.886
O5 O 0.355 0.671 0.200
O6 O 0.356 0.268 0.154
O7 O 0.484 0.674 0.570


No. 2
# CrPO4 | the Alexandria database | PBEsol | relaxed
# Formation energy without anion corrections ... -199.6 kJ per mole of atoms
# Total DFT energy (no corrections) ... -8.2401 eV per atom
# Total magnetization ... 12.0 Bohr magnetons per cell
data_CrPO4
_symmetry_space_group_name_H-M 'P n m a'
_symmetry_Int_Tables_number 62
_cell_length_a 9.749
_cell_length_b 5.586
_cell_length_c 4.679
_cell_angle_alpha 90.00
_cell_angle_beta 90.00
_cell_angle_gamma 90.00
loop_
_symmetry_equiv_pos_as_xyz
'x,y,z'
'-x,-y,-z'
'-x+1/2,-y,z+1/2'
'x+1/2,y,-z+1/2'
'x+1/2,-y+1/2,-z+1/2'
'-x+1/2,y+1/2,z+1/2'
'-x,y+1/2,-z'
'x,-y+1/2,z'
loop_
_atom_site_label
_atom_site_type_symbol
_atom_site_fract_x
_atom_site_fract_y
_atom_site_fract_z
Cr1 Cr 0.231 0.250 0.047
P1 P 0.088 0.750 0.108
O1 O 0.063 0.250 0.823
O2 O 0.111 0.750 0.788
O3 O 0.167 0.537 0.264


No. 3
# CrP3O9 | the Alexandria database | PBEsol | relaxed
# Formation energy without anion corrections ... -201.5 kJ per mole of atoms
# Total DFT energy (no corrections) ... -7.8470 eV per atom
# Total magnetization ... 12.0 Bohr magnetons per cell
# ΔE to the lowest computed polymorph ... 34 meV/atom
data_CrP3O9
_symmetry_space_group_name_H-M 'P 21 21 21'
_symmetry_Int_Tables_number 19
_cell_length_a 8.304
_cell_length_b 8.371
_cell_length_c 8.974
_cell_angle_alpha 90.00
_cell_angle_beta 90.00
_cell_angle_gamma 90.00
loop_
_symmetry_equiv_pos_as_xyz
'x,y,z'
'-x+1/2,-y,z+1/2'
'x+1/2,-y+1/2,-z'
'-x,y+1/2,-z+1/2'
loop_
_atom_site_label
_atom_site_type_symbol
_atom_site_fract_x
_atom_site_fract_y
_atom_site_fract_z
Cr1 Cr 0.125 0.098 0.136
P1 P 0.067 0.729 0.082
P2 P 0.072 0.948 0.832
P3 P 0.216 0.562 0.555
O1 O 0.016 0.789 0.919
O2 O 0.069 0.139 0.348
O3 O 0.101 0.529 0.698
O4 O 0.110 0.594 0.422
O5 O 0.134 0.867 0.169
O6 O 0.142 0.903 0.684
O7 O 0.151 0.327 0.098
O8 O 0.172 0.055 0.930
O9 O 0.207 0.610 0.032


No. 4
# Cr2P3O11 | the Alexandria database | PBEsol | relaxed
# Formation energy without anion corrections ... -200.5 kJ per mole of atoms
# Total DFT energy (no corrections) ... -8.0531 eV per atom
# Total magnetization ... 20.0 Bohr magnetons per cell
data_Cr2P3O11
_symmetry_space_group_name_H-M 'C 1 2/c 1'
_symmetry_Int_Tables_number 15
_cell_length_a 11.421
_cell_length_b 8.338
_cell_length_c 8.677
_cell_angle_alpha 90.00
_cell_angle_beta 113.75
_cell_angle_gamma 90.00
loop_
_symmetry_equiv_pos_as_xyz
'x,y,z'
'-x,-y,-z'
'-x,y,-z+1/2'
'x,-y,z+1/2'
'x+1/2,y+1/2,z'
'-x+1/2,-y+1/2,-z'
'-x+1/2,y+1/2,-z+1/2'
'x+1/2,-y+1/2,z+1/2'
loop_
_atom_site_label
_atom_site_type_symbol
_atom_site_fract_x
_atom_site_fract_y
_atom_site_fract_z
Cr1 Cr 0.127 0.238 0.039
P1 P 0.000 0.043 0.250
P2 P 0.109 0.436 0.709
O1 O 0.000 0.478 0.250
O2 O 0.043 0.322 0.563
O3 O 0.078 0.057 0.905
O4 O 0.096 0.149 0.213
O5 O 0.186 0.433 0.173
O6 O 0.191 0.341 0.872


No. 5
# CrP2O7 | the Alexandria database | PBEsol | relaxed
# Formation energy without anion corrections ... -196.4 kJ per mole of atoms
# Total DFT energy (no corrections) ... -7.8929 eV per atom
# Total magnetization ... 16.0 Bohr magnetons per cell
# ΔE to the lowest computed polymorph ... 17 meV/atom
data_CrP2O7
_symmetry_space_group_name_H-M 'C 1 2/c 1'
_symmetry_Int_Tables_number 15
_cell_length_a 9.365
_cell_length_b 8.008
_cell_length_c 12.973
_cell_angle_alpha 90.00
_cell_angle_beta 110.81
_cell_angle_gamma 90.00
loop_
_symmetry_equiv_pos_as_xyz
'x,y,z'
'-x,-y,-z'
'-x,y,-z+1/2'
'x,-y,z+1/2'
'x+1/2,y+1/2,z'
'-x+1/2,-y+1/2,-z'
'-x+1/2,y+1/2,-z+1/2'
'x+1/2,-y+1/2,z+1/2'
loop_
_atom_site_label
_atom_site_type_symbol
_atom_site_fract_x
_atom_site_fract_y
_atom_site_fract_z
Cr1 Cr 0.151 0.227 0.148
P1 P 0.124 0.044 0.927
P2 P 0.167 0.408 0.365
O1 O 0.012 0.381 0.375
O2 O 0.022 0.040 0.148
O3 O 0.096 0.191 0.994
O4 O 0.180 0.418 0.821
O5 O 0.209 0.266 0.302
O6 O 0.210 0.099 0.513
O7 O 0.224 0.095 0.862


No. 6
# CrP3O9 | the Alexandria database | PBEsol | relaxed
# Formation energy without anion corrections ... -202.6 kJ per mole of atoms
# Total DFT energy (no corrections) ... -7.8586 eV per atom
# Total magnetization ... 6.0 Bohr magnetons per cell
# ΔE to the lowest computed polymorph ... 22 meV/atom
data_CrP3O9
_symmetry_space_group_name_H-M 'P -6 c 2'
_symmetry_Int_Tables_number 188
_symmetry_space_group_name_Hall 'P -6c 2'
_cell_length_a 6.5238
_cell_length_b 6.5238
_cell_length_c 9.5482
_cell_angle_alpha 90.00
_cell_angle_beta 90.00
_cell_angle_gamma 120.00
loop_
_atom_site_label
_atom_site_type_symbol
_atom_site_fract_x
_atom_site_fract_y
_atom_site_fract_z
Cr1 Cr 0.0000 0.0000 0.0000
P1 P 0.3775 0.1103 0.2500
O1 O 0.2493 0.0046 0.1158
O2 O 0.4787 0.0883 0.7500


No. 7
# CrPO2 | the Alexandria database | PBEsol | relaxed
# Formation energy without anion corrections ... -50.9 kJ per mole of atoms
# Total DFT energy (no corrections) ... -7.1609 eV per atom
# Total magnetization ... 4.5 Bohr magnetons per cell
data_CrPO2
_symmetry_space_group_name_H-M 'I -4 2 d'
_symmetry_Int_Tables_number 122
_symmetry_space_group_name_Hall 'I -4 2bw'
_cell_length_a 3.533
_cell_length_b 3.533
_cell_length_c 12.486
_cell_angle_alpha 90.00
_cell_angle_beta 90.00
_cell_angle_gamma 90.00
loop_
_atom_site_label
_atom_site_type_symbol
_atom_site_fract_x
_atom_site_fract_y
_atom_site_fract_z
Cr1 Cr 0.000 0.000 0.000
P1 P 0.000 0.000 0.500
O1 O 0.228 0.250 0.125


No. 8
# CrP2Pb5O13 | the Alexandria database | PBEsol | relaxed
# Formation energy without anion corrections ... -170.1 kJ per mole of atoms
# Total DFT energy (no corrections) ... -7.0036 eV per atom
# Total magnetization ... 0.0 Bohr magnetons per cell
data_CrP2Pb5O13
_symmetry_space_group_name_H-M 'P n m a'
_symmetry_Int_Tables_number 62
_cell_length_a 13.501
_cell_length_b 10.300
_cell_length_c 9.336
_cell_angle_alpha 90.00
_cell_angle_beta 90.00
_cell_angle_gamma 90.00
loop_
_symmetry_equiv_pos_as_xyz
'x,y,z'
'-x,-y,-z'
'-x+1/2,-y,z+1/2'
'x+1/2,y,-z+1/2'
'x+1/2,-y+1/2,-z+1/2'
'-x+1/2,y+1/2,z+1/2'
'-x,y+1/2,-z'
'x,-y+1/2,z'
loop_
_atom_site_label
_atom_site_type_symbol
_atom_site_fract_x
_atom_site_fract_y
_atom_site_fract_z
Cr1 Cr 0.000 0.250 0.072
P1 P 0.160 0.033 0.569
Pb1 Pb 0.022 0.750 0.531
Pb2 Pb 0.078 0.556 0.208
Pb3 Pb 0.222 0.250 0.855
Pb4 Pb 0.234 0.750 0.799
O1 O 0.021 0.250 0.896
O2 O 0.055 0.078 0.620
O3 O 0.066 0.620 0.891
O4 O 0.110 0.250 0.153
O5 O 0.112 0.750 0.325
O6 O 0.168 0.064 0.406
O7 O 0.174 0.615 0.590
O8 O 0.241 0.107 0.654


No. 9
# Cr2P4Pb3O16 | the Alexandria database | PBEsol | relaxed
# Formation energy without anion corrections ... -194.6 kJ per mole of atoms
# Total DFT energy (no corrections) ... -7.6018 eV per atom
# Total magnetization ... 12.0 Bohr magnetons per cell
data_Cr2P4Pb3O16
_symmetry_space_group_name_H-M 'P 1 21/c 1'
_symmetry_Int_Tables_number 14
_cell_length_a 8.936
_cell_length_b 8.966
_cell_length_c 9.286
_cell_angle_alpha 90.00
_cell_angle_beta 116.85
_cell_angle_gamma 90.00
loop_
_symmetry_equiv_pos_as_xyz
'x,y,z'
'-x,-y,-z'
'-x,y+1/2,-z+1/2'
'x,-y+1/2,z+1/2'
loop_
_atom_site_label
_atom_site_type_symbol
_atom_site_fract_x
_atom_site_fract_y
_atom_site_fract_z
Cr1 Cr 0.248 0.131 0.244
P1 P 0.019 0.138 0.844
P2 P 0.426 0.090 0.639
Pb1 Pb 0.000 0.000 0.500
Pb2 Pb 0.299 0.707 0.528
O1 O 0.081 0.501 0.759
O2 O 0.096 0.204 0.736
O3 O 0.101 0.749 0.636
O4 O 0.157 0.088 0.010
O5 O 0.312 0.543 0.127
O6 O 0.386 0.546 0.759
O7 O 0.392 0.153 0.475
O8 O 0.411 0.219 0.744


No. 10
# CrP2RhO | the Alexandria database | PBEsol | relaxed
# Formation energy without anion corrections ... -10.1 kJ per mole of atoms
# Total DFT energy (no corrections) ... -7.1470 eV per atom
# Total magnetization ... 0.0 Bohr magnetons per cell
data_CrP2RhO
_symmetry_space_group_name_H-M 'P 4/m m m'
_symmetry_Int_Tables_number 123
_symmetry_space_group_name_Hall '-P 4 2'
_cell_length_a 4.499
_cell_length_b 4.499
_cell_length_c 3.371
_cell_angle_alpha 90.00
_cell_angle_beta 90.00
_cell_angle_gamma 90.00
loop_
_atom_site_label
_atom_site_type_symbol
_atom_site_fract_x
_atom_site_fract_y
_atom_site_fract_z
Cr1 Cr 0.000 0.000 0.000
P1 P 0.000 0.500 0.000
Rh1 Rh 0.500 0.500 0.500
O1 O 0.000 0.000 0.500


No. 11
# CrP2RuO | the Alexandria database | PBEsol | relaxed
# Formation energy without anion corrections ... 9.6 kJ per mole of atoms
# Total DFT energy (no corrections) ... -7.3495 eV per atom
# Total magnetization ... 0.6 Bohr magnetons per cell
data_CrP2RuO
_symmetry_space_group_name_H-M 'P 4/m m m'
_symmetry_Int_Tables_number 123
_symmetry_space_group_name_Hall '-P 4 2'
_cell_length_a 4.504
_cell_length_b 4.504
_cell_length_c 3.350
_cell_angle_alpha 90.00
_cell_angle_beta 90.00
_cell_angle_gamma 90.00
loop_
_atom_site_label
_atom_site_type_symbol
_atom_site_fract_x
_atom_site_fract_y
_atom_site_fract_z
Cr1 Cr 0.000 0.000 0.000
P1 P 0.000 0.500 0.000
Ru1 Ru 0.500 0.500 0.500
O1 O 0.000 0.000 0.500